Cu2SI at its PBEsol-relaxed geometry, computed with meta-GGA SCAN.

Unit cell a=5.5178 b=5.5178 c=11.0264 alpha=90.00 beta=90.00 gamma=90.00
Space group I-42d (No. 122)
Unique sites:
Cu1 0.1845 0.2500 0.1250 x8
S1 0.0000 0.0000 0.0000 x4
I1 0.0000 0.0000 0.5000 x4



CuS2I2 at its PBEsol-relaxed geometry, computed with meta-GGA SCAN.

Unit cell a=18.9767 b=3.6446 c=4.0932 alpha=90.00 beta=93.35 gamma=90.00
Space group Cm (No. 8)
Unique sites:
Cu1 0.0000 0.0000 0.0000 x2
S1 0.3536 0.0000 0.2395 x2
S2 0.4339 0.0000 0.9416 x2
I1 0.0816 0.0000 0.5289 x2
I2 0.2409 0.0000 0.8977 x2



CuSI2 at its PBEsol-relaxed geometry, computed with meta-GGA SCAN.

Properties
E above lowest polymorph: 957 meV/atom

Unit cell a=7.0377 b=7.0377 c=7.0377 alpha=90.00 beta=90.00 gamma=90.00
Space group Fm-3m (No. 225)
Unique sites:
Cu1 0.0000 0.0000 0.0000 x4
S1 0.0000 0.0000 0.5000 x4
I1 0.2500 0.2500 0.2500 x8



CuS2I at its PBEsol-relaxed geometry, computed with meta-GGA SCAN.

Unit cell a=6.5760 b=6.5760 c=6.5760 alpha=90.00 beta=90.00 gamma=90.00
Space group Fm-3m (No. 225)
Unique sites:
Cu1 0.0000 0.0000 0.0000 x4
S1 0.2500 0.2500 0.2500 x8
I1 0.0000 0.0000 0.5000 x4



CuS3I at its PBEsol-relaxed geometry, computed with meta-GGA SCAN.

Unit cell a=4.3162 b=5.1399 c=6.1702 alpha=88.45 beta=74.14 gamma=72.00
Space group P1 (No. 1)
Unique sites:
Cu1 0.0000 0.0000 0.0000 x1
S1 0.2076 0.5731 0.1170 x1
S2 0.4179 0.6052 0.3700 x1
S3 0.9009 0.3198 0.2678 x1
I1 0.6232 0.9504 0.7594 x1



Cu2S2I at its PBEsol-relaxed geometry, computed with meta-GGA SCAN.

Unit cell a=3.7276 b=3.7276 c=8.4659 alpha=90.00 beta=90.00 gamma=120.00
Space group P-6m2 (No. 187)
Unique sites:
Cu1 0.0000 0.0000 0.1979 x2
S1 0.3333 0.6667 0.1255 x2
I1 0.0000 0.0000 0.5000 x1



For each record above, in turn, the calculated raw total energy values are -19.398; -21.599; -23.644; -16.815; -16.192; -17.454 eV per atom.
For each record above, in turn, the calculated Fermi-level density of states values are 10.92; 3.30; 13.22; 9.50; 0.00; 2.21 states/eV/cell.
For each record above, in turn, the calculated mass density values are 5.7; 4.5; 6.7; 5.9; 3.8; 5.2 g/cm³.